Computed, not measured: a PBEsol-optimized structure of BaLa2Br8 at the meta-GGA SCAN level of DFT.

Output
Raw formation energy (eV per formula unit): -24.64
Magnetization (μB/atom): 0.000
Calculated total energy (eV/atom): -27.825

a b c (Å): 7.2711 6.8306 16.1587
angles (deg): 90.00 109.13 90.00
Space group P2/c (No. 13)
Inequivalent atoms, fractional coordinates:
Ba1 0.0000 0.1903 0.2500 (multiplicity 2)
La1 0.2963 0.2112 0.0235 (multiplicity 4)
Br1 0.0846 0.0914 0.6060 (multiplicity 4)
Br2 0.2721 0.4282 0.1671 (multiplicity 4)
Br3 0.2824 0.4017 0.4323 (multiplicity 4)
Br4 0.4088 0.0691 0.8704 (multiplicity 4)